# 1
MgBeCuSn: optimized geometry, PBE.

Lattice parameters (Å, degrees): 4.512 4.512 4.512 60.00 60.00 60.00
Fractional positions:
Be1 0.250 0.250 0.250
Cu1 0.750 0.750 0.750
Mg1 0.500 0.500 0.500
Sn1 0.000 0.000 0.000

Summary:
Space group: No. 216
Total energy (eV per atom): -2.992
Volume (Å³ per atom): 16.2
Excess energy over the best structure of this formula in the dataset (meV per atom): 0



# 2
MgBeCu4Sn2: optimized geometry, PBE.

Lattice parameters (Å, degrees): 4.306 4.306 6.512 90.00 90.00 90.00
Fractional positions:
Mg1 0.000 0.000 0.500
Sn1 0.500 0.500 0.500
Cu1 0.500 0.000 0.230
Cu2 0.000 0.500 0.230
Cu3 0.000 0.500 0.770
Cu4 0.500 0.000 0.770
Sn2 0.000 0.000 0.000
Be1 0.500 0.500 0.000

Summary:
Space group: No. 123
Total energy (eV per atom): -3.398
Volume (Å³ per atom): 15.1